(1)
5
Lattice="4.6575 0.0000 0.0000 0.0000 4.6575 0.0000 0.0000 0.0000 4.6575" Properties=species:S:1:pos:R:3 comment="VSb3H | Alexandria via LeMat-Bulk | PBE | relaxed" vol_a3_per_atom=20.21 e_tot_ev_per_cell=-21.9 crystal_system=cubic magnetic_moment_mub_per_cell=3.4 space_group="No. 221" pbc="T T T"
V 0.0000 0.0000 0.0000
Sb 0.0000 2.3287 2.3287
Sb 2.3287 0.0000 2.3287
Sb 2.3287 2.3287 0.0000
H 2.3287 2.3287 2.3287

=====

(2)
10
Lattice="9.2806 0.0000 0.0000 0.0000 9.2806 0.0000 0.0000 0.0000 3.6387" Properties=species:S:1:pos:R:3 comment="RbLa2Ga2 | Alexandria via LeMat-Bulk | PBE | relaxed" vol_a3_per_atom=31.34 formation_enthalpy_0k_mev_per_atom=-166.0 crystal_system=tetragonal magnetic_moment_mub_per_cell=0.0 space_group="No. 127" pbc="T T T"
Rb 0.0000 0.0000 0.0000
Rb 4.6403 4.6403 0.0000
La 1.5556 3.0847 1.8194
La 3.0847 7.7250 1.8194
La 6.1959 1.5556 1.8194
La 7.7250 6.1959 1.8194
Ga 1.0845 5.7248 0.0000
Ga 3.5558 1.0845 0.0000
Ga 5.7248 8.1961 0.0000
Ga 8.1961 3.5558 0.0000

=====

(3)
8
Lattice="-3.6230 3.6230 2.6509 3.6230 -3.6230 2.6509 3.6230 3.6230 -2.6509" Properties=species:S:1:pos:R:3 comment="Mo2RhAu | Alexandria via LeMat-Bulk | PBE | relaxed" vol_a3_per_atom=17.40 formation_enthalpy_0k_mev_per_atom=586.1 crystal_system=tetragonal magnetic_moment_mub_per_cell=0.0 space_group="No. 122" pbc="T T T"
Mo 5.4345 1.5582 -0.6627
Mo 1.5582 1.8115 0.6627
Mo -1.8115 2.0648 1.9882
Mo 2.0648 1.8115 3.3137
Rh 0.0000 0.0000 0.0000
Rh 0.0000 3.6230 1.3255
Au 3.6230 0.0000 1.3255
Au 0.0000 0.0000 2.6509